Here is a geometry-optimized Sr2CdPt structure from Alexandria. Energies are from GGA-PBE.

Unit cell a=4.325 b=4.325 c=8.877 alpha=75.96 beta=75.96 gamma=60.02
Atoms (fractional coordinates):
Cd 0.750 0.750 0.750
Pt 0.250 0.250 0.250
Sr 0.982 0.982 0.052
Sr 0.518 0.518 0.448

Values from the calculation:
Space group: C2/m (12)
Energy: -3.049 eV/atom

=====

Here is a geometry-optimized SrCdPt3 structure from Alexandria. Energies are from GGA-PBE.

Unit cell a=5.035 b=5.035 c=5.035 alpha=90.00 beta=90.00 gamma=90.00
Atoms (fractional coordinates):
Sr 0.500 0.500 0.500
Pt 0.000 0.500 0.000
Pt 0.000 0.000 0.500
Pt 0.500 0.000 0.000
Cd 0.000 0.000 0.000

Values from the calculation:
Space group: Pm-3m (221)
Energy above the most stable polymorph in this dataset: 0 meV/atom